[1]
Below is a relaxed MgAl2Zn crystal, with properties calculated at the GGA-PBE level.

a b c (Å): 9.578 9.578 9.578
angles (deg): 17.67 17.67 17.67
Element x y z (fractional)
1 Mg 0.000 0.000 0.000
2 Al 0.246 0.246 0.246
3 Al 0.754 0.754 0.754
4 Zn 0.500 0.500 0.500

Computed properties:
For the size of the total moment, the calculation gives 0.0 μB/f.u. The value obtained for the density of states at the Fermi level is 0.7 states/eV/cell. The energy of formation comes out at 0.43 kJ/mol of atoms.

=====

[2]
Below is a relaxed MgAlZn crystal, with properties calculated at the GGA-PBE level.

a b c (Å): 4.579 4.579 2.967
angles (deg): 90.00 90.00 120.00
Element x y z (fractional)
1 Mg 0.000 0.000 0.000
2 Al 0.667 0.333 0.500
3 Zn 0.333 0.667 0.500

Computed properties:
For the size of the total moment, the calculation gives 0.0 μB/f.u. For the offset from the most stable computed form, the calculation gives 23.0 meV/atom. The value obtained for the density of states at the Fermi level is 1.0 states/eV/cell. The energy of formation comes out at -3.97 kJ/mol of atoms.

=====

[3]
Below is a relaxed Mg16Al12Zn crystal, with properties calculated at the GGA-PBE level.

a b c (Å): 9.105 9.105 9.105
angles (deg): 109.47 109.47 109.47
Element x y z (fractional)
1 Mg 0.000 0.000 0.670
2 Mg 0.000 0.401 0.687
3 Mg 0.000 0.670 0.000
4 Mg 0.000 0.687 0.401
5 Mg 0.285 0.599 0.599
6 Mg 0.313 0.313 0.715
7 Mg 0.313 0.715 0.313
8 Mg 0.330 0.330 0.330
9 Mg 0.401 0.000 0.687
10 Mg 0.401 0.687 0.000
11 Mg 0.599 0.285 0.599
12 Mg 0.599 0.599 0.285
13 Mg 0.670 0.000 0.000
14 Mg 0.687 0.000 0.401
15 Mg 0.687 0.401 0.000
16 Mg 0.715 0.313 0.313
17 Al 0.000 0.186 0.368
18 Al 0.000 0.368 0.186
19 Al 0.182 0.814 0.814
20 Al 0.186 0.000 0.368
21 Al 0.186 0.368 0.000
22 Al 0.368 0.000 0.186
23 Al 0.368 0.186 0.000
24 Al 0.632 0.632 0.818
25 Al 0.632 0.818 0.632
26 Al 0.814 0.182 0.814
27 Al 0.814 0.814 0.182
28 Al 0.818 0.632 0.632
29 Zn 0.000 0.000 0.000

Computed properties:
For the size of the total moment, the calculation gives 0.0 μB/f.u. For the offset from the most stable computed form, the calculation gives 10.4 meV/atom. The value obtained for the density of states at the Fermi level is 5.5 states/eV/cell. The energy of formation comes out at -2.06 kJ/mol of atoms.

=====

[4]
Below is a relaxed MgAl3Zn crystal, with properties calculated at the GGA-PBE level.

a b c (Å): 5.121 5.121 5.121
angles (deg): 90.00 90.00 90.00
Element x y z (fractional)
1 Mg 0.000 0.000 0.000
2 Al 0.000 0.000 0.500
3 Al 0.000 0.500 0.000
4 Al 0.500 0.000 0.000
5 Zn 0.500 0.500 0.500

Computed properties:
For the size of the total moment, the calculation gives 0.0 μB/f.u. For the offset from the most stable computed form, the calculation gives 888.1 meV/atom. The value obtained for the density of states at the Fermi level is 2.4 states/eV/cell. The energy of formation comes out at 88.38 kJ/mol of atoms.

=====

[5]
Below is a relaxed Mg6AlZn crystal, with properties calculated at the GGA-PBE level.

a b c (Å): 4.972 6.165 6.165
angles (deg): 61.47 90.00 90.00
Element x y z (fractional)
1 Mg 0.000 0.000 0.000
2 Mg 0.000 0.502 0.988
3 Mg 0.000 0.988 0.502
4 Mg 0.500 0.172 0.172
5 Mg 0.500 0.179 0.671
6 Mg 0.500 0.671 0.179
7 Al 0.000 0.498 0.498
8 Zn 0.500 0.673 0.673

Computed properties:
For the size of the total moment, the calculation gives 0.0 μB/f.u. For the offset from the most stable computed form, the calculation gives 6.7 meV/atom. The value obtained for the density of states at the Fermi level is 3.3 states/eV/cell. The energy of formation comes out at 1.36 kJ/mol of atoms.

=====

[6]
Below is a relaxed MgAl2Zn crystal, with properties calculated at the GGA-PBE level.

a b c (Å): 5.823 5.823 2.906
angles (deg): 103.53 103.53 123.09
Element x y z (fractional)
1 Mg 0.000 0.000 0.000
2 Al 0.000 0.500 0.000
3 Al 0.500 0.000 0.000
4 Zn 0.500 0.500 0.000

Computed properties:
For the size of the total moment, the calculation gives 0.0 μB/f.u. The value obtained for the density of states at the Fermi level is 1.1 states/eV/cell. The energy of formation comes out at 5.42 kJ/mol of atoms.

=====

[7]
Below is a relaxed MgAl2Zn3 crystal, with properties calculated at the GGA-PBE level.

a b c (Å): 4.980 4.980 9.441
angles (deg): 95.23 95.23 119.50
Element x y z (fractional)
1 Mg 0.074 0.926 0.750
2 Mg 0.926 0.074 0.250
3 Al 0.000 0.500 0.500
4 Al 0.258 0.742 0.250
5 Al 0.500 0.000 0.000
6 Al 0.742 0.258 0.750
7 Zn 0.173 0.344 0.002
8 Zn 0.344 0.173 0.502
9 Zn 0.409 0.591 0.750
10 Zn 0.591 0.409 0.250
11 Zn 0.656 0.827 0.498
12 Zn 0.827 0.656 0.998

Computed properties:
For the size of the total moment, the calculation gives 0.0 μB/f.u. The value obtained for the density of states at the Fermi level is 3.2 states/eV/cell. The energy of formation comes out at 0.81 kJ/mol of atoms.

=====

[8]
Below is a relaxed MgAl2Zn crystal, with properties calculated at the GGA-PBE level.

a b c (Å): 15.046 7.508 5.115
angles (deg): 90.00 90.00 90.00
Element x y z (fractional)
1 Mg 0.111 0.250 0.236
2 Mg 0.143 0.750 0.454
3 Mg 0.357 0.250 0.954
4 Mg 0.389 0.750 0.736
5 Mg 0.611 0.250 0.264
6 Mg 0.643 0.750 0.046
7 Mg 0.857 0.250 0.546
8 Mg 0.889 0.750 0.764
9 Al 0.031 0.054 0.737
10 Al 0.031 0.446 0.737
11 Al 0.216 0.554 0.944
12 Al 0.216 0.946 0.944
13 Al 0.284 0.054 0.444
14 Al 0.284 0.446 0.444
15 Al 0.469 0.554 0.237
16 Al 0.469 0.946 0.237
17 Al 0.531 0.054 0.763
18 Al 0.531 0.446 0.763
19 Al 0.716 0.554 0.556
20 Al 0.716 0.946 0.556
21 Al 0.784 0.054 0.056
22 Al 0.784 0.446 0.056
23 Al 0.969 0.554 0.263
24 Al 0.969 0.946 0.263
25 Zn 0.069 0.750 0.957
26 Zn 0.176 0.250 0.728
27 Zn 0.324 0.750 0.228
28 Zn 0.431 0.250 0.457
29 Zn 0.569 0.750 0.543
30 Zn 0.676 0.250 0.772
31 Zn 0.824 0.750 0.272
32 Zn 0.931 0.250 0.043

Computed properties:
For the size of the total moment, the calculation gives 0.0 μB/f.u. The value obtained for the density of states at the Fermi level is 10.1 states/eV/cell. The energy of formation comes out at -0.31 kJ/mol of atoms.

=====

[9]
Below is a relaxed Mg6Al2Zn crystal, with properties calculated at the GGA-PBE level.

a b c (Å): 3.113 8.228 8.228
angles (deg): 119.95 90.00 90.00
Element x y z (fractional)
1 Mg 0.000 0.000 0.000
2 Mg 0.000 0.431 0.715
3 Mg 0.000 0.715 0.431
4 Mg 0.500 0.086 0.715
5 Mg 0.500 0.345 0.345
6 Mg 0.500 0.715 0.086
7 Al 0.000 0.049 0.382
8 Al 0.000 0.382 0.049
9 Zn 0.500 0.716 0.716

Computed properties:
For the size of the total moment, the calculation gives 0.0 μB/f.u. The value obtained for the density of states at the Fermi level is 3.0 states/eV/cell. The energy of formation comes out at -2.55 kJ/mol of atoms.

=====

[10]
Below is a relaxed MgAl2Zn crystal, with properties calculated at the GGA-PBE level.

a b c (Å): 2.913 2.913 8.270
angles (deg): 90.00 90.00 90.00
Element x y z (fractional)
1 Mg 0.000 0.000 0.000
2 Al 0.500 0.500 0.265
3 Al 0.500 0.500 0.735
4 Zn 0.000 0.000 0.500

Computed properties:
For the size of the total moment, the calculation gives 0.0 μB/f.u. The value obtained for the density of states at the Fermi level is 1.9 states/eV/cell. The energy of formation comes out at 2.50 kJ/mol of atoms.

=====

[11]
Below is a relaxed Mg16Al12Zn crystal, with properties calculated at the GGA-PBE level.

a b c (Å): 9.067 9.067 9.061
angles (deg): 109.32 109.32 109.31
Element x y z (fractional)
1 Mg 0.000 0.000 0.000
2 Mg 0.000 0.317 0.603
3 Mg 0.002 0.349 0.000
4 Mg 0.003 0.601 0.322
5 Mg 0.006 0.006 0.349
6 Mg 0.295 0.682 0.690
7 Mg 0.317 0.000 0.603
8 Mg 0.325 0.596 0.998
9 Mg 0.349 0.002 0.000
10 Mg 0.404 0.715 0.403
11 Mg 0.596 0.325 0.998
12 Mg 0.601 0.003 0.322
13 Mg 0.641 0.641 0.666
14 Mg 0.682 0.295 0.690
15 Mg 0.691 0.691 0.294
16 Mg 0.715 0.404 0.403
17 Al 0.002 0.817 0.640
18 Al 0.006 0.636 0.822
19 Al 0.184 0.368 0.369
20 Al 0.187 0.187 0.816
21 Al 0.193 0.822 0.191
22 Al 0.366 0.366 0.179
23 Al 0.368 0.184 0.369
24 Al 0.636 0.006 0.822
25 Al 0.643 0.825 0.012
26 Al 0.817 0.002 0.640
27 Al 0.822 0.193 0.191
28 Al 0.825 0.643 0.012
29 Zn 0.366 0.366 0.686

Computed properties:
For the size of the total moment, the calculation gives 0.0 μB/f.u. For the offset from the most stable computed form, the calculation gives 0.0 meV/atom. The value obtained for the density of states at the Fermi level is 7.2 states/eV/cell. The energy of formation comes out at -3.06 kJ/mol of atoms.

=====

[12]
Below is a relaxed MgAlZn crystal, with properties calculated at the GGA-PBE level.

a b c (Å): 6.083 6.083 6.083
angles (deg): 150.74 150.74 41.85
Element x y z (fractional)
1 Mg 0.000 0.000 0.000
2 Al 0.684 0.684 0.000
3 Zn 0.330 0.330 0.000

Computed properties:
For the size of the total moment, the calculation gives 0.0 μB/f.u. For the offset from the most stable computed form, the calculation gives 58.7 meV/atom. The value obtained for the density of states at the Fermi level is 0.7 states/eV/cell. The energy of formation comes out at -0.52 kJ/mol of atoms.